1.
DFT (PBE) results for an optimized crystal structure of NaTmSc.

Geometry as CIF:
```
data_NaTmSc
_chemical_formula_sum 'Na2 Tm2 Sc2'
_cell_length_a 4.047
_cell_length_b 4.047
_cell_length_c 11.729
_cell_angle_alpha 90.00
_cell_angle_beta 90.00
_cell_angle_gamma 90.00
_symmetry_space_group_name_H-M 'P 4/n m m'
_symmetry_Int_Tables_number 129
loop_
_symmetry_equiv_pos_as_xyz
'x,y,z'
'-x,-y,-z'
'-y+1/2,x,z'
'y+1/2,-x,-z'
'-x+1/2,-y+1/2,z'
'x+1/2,y+1/2,-z'
'y,-x+1/2,z'
'-y,x+1/2,-z'
'x+1/2,-y,-z'
'-x+1/2,y,z'
'-y,-x,-z'
'y,x,z'
'-x,y+1/2,-z'
'x,-y+1/2,z'
'y+1/2,x+1/2,-z'
'-y+1/2,-x+1/2,z'
loop_
_atom_site_label
_atom_site_fract_x
_atom_site_fract_y
_atom_site_fract_z
Na1 0.250 0.250 0.081
Tm1 0.250 0.250 0.724
Sc1 0.250 0.750 0.500
```

Computed properties:
Its density of states at the Fermi level is 4.31 states/eV/f.u.

2.
DFT (PBE) results for an optimized crystal structure of NaTm2Sc.

Geometry as CIF:
```
data_NaTm2Sc
_chemical_formula_sum 'Na3 Tm6 Sc3'
_cell_length_a 3.3838
_cell_length_b 3.3838
_cell_length_c 36.7633
_cell_angle_alpha 90.00
_cell_angle_beta 90.00
_cell_angle_gamma 120.00
_symmetry_space_group_name_H-M 'R -3 m'
_symmetry_Int_Tables_number 166
_symmetry_space_group_name_Hall '-R 3 2"'
loop_
_atom_site_label
_atom_site_fract_x
_atom_site_fract_y
_atom_site_fract_z
Na1 0.0000 0.0000 0.0000
Tm1 0.0000 0.0000 0.0946
Sc1 0.0000 0.0000 0.5000
```

Computed properties:
Its density of states at the Fermi level is 4.19 states/eV/f.u.

3.
DFT (PBE) results for an optimized crystal structure of NaSc2V.

Geometry as CIF:
```
data_NaSc2V
_chemical_formula_sum 'Na1 Sc2 V1'
_cell_length_a 3.327
_cell_length_b 3.327
_cell_length_c 8.775
_cell_angle_alpha 90.00
_cell_angle_beta 90.00
_cell_angle_gamma 90.00
_symmetry_space_group_name_H-M 'P 4/m m m'
_symmetry_Int_Tables_number 123
_symmetry_space_group_name_Hall '-P 4 2'
loop_
_atom_site_label
_atom_site_fract_x
_atom_site_fract_y
_atom_site_fract_z
Na1 0.000 0.000 0.000
Sc1 0.500 0.500 0.317
V1 0.000 0.000 0.500
```

Computed properties:
Its density of states at the Fermi level is 3.11 states/eV/f.u.

4.
DFT (PBE) results for an optimized crystal structure of Na2ScV.

Geometry as CIF:
```
data_Na2ScV
_chemical_formula_sum 'Na8 Sc4 V4'
_cell_length_a 7.377
_cell_length_b 7.377
_cell_length_c 7.377
_cell_angle_alpha 90.00
_cell_angle_beta 90.00
_cell_angle_gamma 90.00
_symmetry_space_group_name_H-M 'F m -3 m'
_symmetry_Int_Tables_number 225
_symmetry_space_group_name_Hall '-F 4 2 3'
loop_
_atom_site_label
_atom_site_fract_x
_atom_site_fract_y
_atom_site_fract_z
Na1 0.250 0.250 0.250
Sc1 0.000 0.000 0.000
V1 0.000 0.000 0.500
```

Computed properties:
Its density of states at the Fermi level is 5.42 states/eV/f.u.

5.
DFT (PBE) results for an optimized crystal structure of NaSc2V.

Geometry as CIF:
```
data_NaSc2V
_chemical_formula_sum 'Na4 Sc8 V4'
_cell_length_a 7.697
_cell_length_b 7.697
_cell_length_c 6.226
_cell_angle_alpha 90.00
_cell_angle_beta 90.00
_cell_angle_gamma 90.00
_symmetry_space_group_name_H-M 'I -4 2 d'
_symmetry_Int_Tables_number 122
_symmetry_space_group_name_Hall 'I -4 2bw'
loop_
_atom_site_label
_atom_site_fract_x
_atom_site_fract_y
_atom_site_fract_z
Na1 0.000 0.000 0.000
Sc1 0.233 0.250 0.625
V1 0.000 0.000 0.500
```

Computed properties:
Its density of states at the Fermi level is 3.54 states/eV/f.u.

6.
DFT (PBE) results for an optimized crystal structure of NaSc2V.

Geometry as CIF:
```
data_NaSc2V
_chemical_formula_sum 'Na4 Sc8 V4'
_cell_length_a 7.099
_cell_length_b 7.099
_cell_length_c 7.099
_cell_angle_alpha 90.00
_cell_angle_beta 90.00
_cell_angle_gamma 90.00
_symmetry_space_group_name_H-M 'F m -3 m'
_symmetry_Int_Tables_number 225
_symmetry_space_group_name_Hall '-F 4 2 3'
loop_
_atom_site_label
_atom_site_fract_x
_atom_site_fract_y
_atom_site_fract_z
Na1 0.000 0.000 0.000
Sc1 0.250 0.250 0.250
V1 0.000 0.000 0.500
```

Computed properties:
Its density of states at the Fermi level is 6.13 states/eV/f.u.

7.
DFT (PBE) results for an optimized crystal structure of Na2ScV.

Geometry as CIF:
```
data_Na2ScV
_chemical_formula_sum 'Na8 Sc4 V4'
_cell_length_a 8.460
_cell_length_b 8.460
_cell_length_c 5.795
_cell_angle_alpha 90.00
_cell_angle_beta 90.00
_cell_angle_gamma 90.00
_symmetry_space_group_name_H-M 'I -4 2 d'
_symmetry_Int_Tables_number 122
_symmetry_space_group_name_Hall 'I -4 2bw'
loop_
_atom_site_label
_atom_site_fract_x
_atom_site_fract_y
_atom_site_fract_z
Na1 0.233 0.250 0.125
Sc1 0.000 0.000 0.500
V1 0.000 0.000 0.000
```

Computed properties:
Its density of states at the Fermi level is 3.96 states/eV/f.u.

8.
DFT (PBE) results for an optimized crystal structure of NaScVW.

Geometry as CIF:
```
data_NaScVW
_chemical_formula_sum 'Na2 Sc2 V2 W2'
_cell_length_a 4.832
_cell_length_b 3.220
_cell_length_c 10.217
_cell_angle_alpha 90.00
_cell_angle_beta 91.00
_cell_angle_gamma 90.00
_symmetry_space_group_name_H-M 'C 1 m 1'
_symmetry_Int_Tables_number 8
loop_
_symmetry_equiv_pos_as_xyz
'x,y,z'
'x,-y,z'
'x+1/2,y+1/2,z'
'x+1/2,-y+1/2,z'
loop_
_atom_site_label
_atom_site_fract_x
_atom_site_fract_y
_atom_site_fract_z
Na1 0.000 0.000 0.000
Sc1 0.486 0.000 0.310
V1 0.002 0.500 0.724
W1 0.495 0.500 0.541
```

Computed properties:
Its density of states at the Fermi level is 4.87 states/eV/f.u.

Number 1: energy above the most stable polymorph in this dataset 241 meV per atom, energy of formation 0.4335 eV/atom. Number 2: energy above the most stable polymorph in this dataset 19 meV per atom, energy of formation 0.1687 eV/atom. Number 3: energy above the most stable polymorph in this dataset 0 meV per atom, energy of formation 0.2386 eV/atom. Number 4: energy above the most stable polymorph in this dataset 0 meV per atom, energy of formation 0.9335 eV/atom. Number 5: energy above the most stable polymorph in this dataset 535 meV per atom, energy of formation 0.7735 eV/atom. Number 6: energy above the most stable polymorph in this dataset 265 meV per atom, energy of formation 0.5040 eV/atom. Number 7: energy above the most stable polymorph in this dataset 55 meV per atom, energy of formation 0.9880 eV/atom. Number 8: energy above the most stable polymorph in this dataset 49 meV per atom, energy of formation 0.3911 eV/atom.